# PBE Pr6GaRh2I3, optimized geometry
data_Pr6GaRh2I3
_cell_length_a 7.426
_cell_length_b 12.875
_cell_length_c 8.486
_cell_angle_alpha 90.00
_cell_angle_beta 107.01
_cell_angle_gamma 90.00
_symmetry_space_group_name_H-M 'C 1 2/m 1'
_symmetry_Int_Tables_number 12
loop_
_symmetry_equiv_pos_as_xyz
'x,y,z'
'-x,-y,-z'
'-x,y,-z'
'x,-y,z'
'x+1/2,y+1/2,z'
'-x+1/2,-y+1/2,-z'
'-x+1/2,y+1/2,-z'
'x+1/2,-y+1/2,z'
loop_
_atom_site_label
_atom_site_fract_x
_atom_site_fract_y
_atom_site_fract_z
_atom_site_occupancy
Pr1 0.214 0.000 0.190 1
Pr2 0.237 0.325 0.191 1
Ga1 0.000 0.500 0.000 1
Rh1 0.000 0.167 0.000 1
I1 0.000 0.000 0.500 1
I2 0.000 0.337 0.500 1
# Calculated volume, Å³ per atom: 32.33
# Density of states at the Fermi level, states/eV per cell: 15.807
# Total DFT energy (no corrections), eV/atom: -5.098

---

# PBE Ba2CdFe, optimized geometry
data_Ba2CdFe
_cell_length_a 3.835
_cell_length_b 3.835
_cell_length_c 9.482
_cell_angle_alpha 90.00
_cell_angle_beta 90.00
_cell_angle_gamma 90.00
_symmetry_space_group_name_H-M 'P 4 m m'
_symmetry_Int_Tables_number 99
loop_
_symmetry_equiv_pos_as_xyz
'x,y,z'
'-y,x,z'
'-x,-y,z'
'y,-x,z'
'-x,y,z'
'y,x,z'
'x,-y,z'
'-y,-x,z'
loop_
_atom_site_label
_atom_site_fract_x
_atom_site_fract_y
_atom_site_fract_z
_atom_site_occupancy
Ba1 0.000 0.000 0.000 1
Ba2 0.500 0.500 0.405 1
Cd1 0.000 0.000 0.653 1
Fe1 0.500 0.500 0.757 1
# Calculated volume, Å³ per atom: 34.87
# Density of states at the Fermi level, states/eV per cell: 6.277
# Total DFT energy (no corrections), eV/atom: -2.977

---

# PBE PrPuPd, optimized geometry
data_PrPuPd
_cell_length_a 3.990
_cell_length_b 4.638
_cell_length_c 8.366
_cell_angle_alpha 90.00
_cell_angle_beta 90.00
_cell_angle_gamma 90.00
_symmetry_space_group_name_H-M 'P m m n'
_symmetry_Int_Tables_number 59
loop_
_symmetry_equiv_pos_as_xyz
'x,y,z'
'-x,-y,-z'
'-x+1/2,-y+1/2,z'
'x+1/2,y+1/2,-z'
'x+1/2,-y,-z'
'-x+1/2,y,z'
'-x,y+1/2,-z'
'x,-y+1/2,z'
loop_
_atom_site_label
_atom_site_fract_x
_atom_site_fract_y
_atom_site_fract_z
_atom_site_occupancy
Pr1 0.250 0.250 0.143 1
Pu1 0.250 0.750 0.491 1
Pd1 0.250 0.250 0.779 1
# Calculated volume, Å³ per atom: 25.80
# Offset from the most stable computed form, meV per atom: 0
# Density of states at the Fermi level, states/eV per cell: 14.654

---

# PBE Tb2NdHoEr, optimized geometry
data_Tb2NdHoEr
_cell_length_a 8.396
_cell_length_b 11.481
_cell_length_c 7.199
_cell_angle_alpha 90.00
_cell_angle_beta 90.00
_cell_angle_gamma 90.00
_symmetry_space_group_name_H-M 'C m c m'
_symmetry_Int_Tables_number 63
_symmetry_space_group_name_Hall '-C 2c 2'
loop_
_atom_site_label
_atom_site_fract_x
_atom_site_fract_y
_atom_site_fract_z
_atom_site_occupancy
Tb1 0.191 0.000 0.000 1
Nd1 0.000 0.227 0.250 1
Ho1 0.000 0.497 0.250 1
Er1 0.000 0.225 0.750 1
# Calculated volume, Å³ per atom: 34.70
# Density of states at the Fermi level, states/eV per cell: 28.636
# Total DFT energy (no corrections), eV/atom: -4.245

---

# PBE MgSi, optimized geometry
data_MgSi
_cell_length_a 11.910
_cell_length_b 3.886
_cell_length_c 10.296
_cell_angle_alpha 90.00
_cell_angle_beta 99.02
_cell_angle_gamma 90.00
_symmetry_space_group_name_H-M 'C 1 m 1'
_symmetry_Int_Tables_number 8
loop_
_symmetry_equiv_pos_as_xyz
'x,y,z'
'x,-y,z'
'x+1/2,y+1/2,z'
'x+1/2,-y+1/2,z'
loop_
_atom_site_label
_atom_site_fract_x
_atom_site_fract_y
_atom_site_fract_z
_atom_site_occupancy
Mg1 0.000 0.000 0.000 1
Mg2 0.003 0.500 0.749 1
Mg3 0.097 0.000 0.527 1
Mg4 0.220 0.500 0.000 1
Mg5 0.288 0.500 0.712 1
Mg6 0.367 0.000 0.221 1
Si1 0.044 0.000 0.264 1
Si2 0.153 0.000 0.809 1
Si3 0.158 0.500 0.235 1
Si4 0.273 0.500 0.448 1
Si5 0.349 0.000 0.921 1
Si6 0.391 0.000 0.504 1
# Calculated volume, Å³ per atom: 19.61
# Density of states at the Fermi level, states/eV per cell: 5.619
# Total DFT energy (no corrections), eV/atom: -3.468

---

# PBE NaTlGeTe3, optimized geometry
data_NaTlGeTe3
_cell_length_a 8.763
_cell_length_b 4.777
_cell_length_c 10.539
_cell_angle_alpha 90.00
_cell_angle_beta 107.46
_cell_angle_gamma 90.00
_symmetry_space_group_name_H-M 'P 1 21/m 1'
_symmetry_Int_Tables_number 11
loop_
_symmetry_equiv_pos_as_xyz
'x,y,z'
'-x,-y,-z'
'-x,y+1/2,-z'
'x,-y+1/2,z'
loop_
_atom_site_label
_atom_site_fract_x
_atom_site_fract_y
_atom_site_fract_z
_atom_site_occupancy
Na1 0.245 0.250 0.193 1
Tl1 0.324 0.750 0.906 1
Ge1 0.083 0.250 0.627 1
Te1 0.028 0.250 0.857 1
Te2 0.211 0.750 0.571 1
Te3 0.495 0.750 0.212 1
# Calculated volume, Å³ per atom: 35.07
# Density of states at the Fermi level, states/eV per cell: 3.447
# Total DFT energy (no corrections), eV/atom: -3.225

---

# PBE MgSO2, optimized geometry
data_MgSO2
_cell_length_a 4.177
_cell_length_b 4.177
_cell_length_c 11.859
_cell_angle_alpha 90.00
_cell_angle_beta 90.00
_cell_angle_gamma 90.00
_symmetry_space_group_name_H-M 'I -4 2 d'
_symmetry_Int_Tables_number 122
_symmetry_space_group_name_Hall 'I -4 2bw'
loop_
_atom_site_label
_atom_site_fract_x
_atom_site_fract_y
_atom_site_fract_z
_atom_site_occupancy
Mg1 0.000 0.000 0.000 1
S1 0.000 0.000 0.500 1
O1 0.242 0.250 0.625 1
# Calculated volume, Å³ per atom: 12.93
# Offset from the most stable computed form, meV per atom: 659
# Density of states at the Fermi level, states/eV per cell: 0.107

---

# PBE BeBiI2O, optimized geometry
data_BeBiI2O
_cell_length_a 6.989
_cell_length_b 6.989
_cell_length_c 2.979
_cell_angle_alpha 90.00
_cell_angle_beta 90.00
_cell_angle_gamma 90.00
_symmetry_space_group_name_H-M 'P 4/m m m'
_symmetry_Int_Tables_number 123
_symmetry_space_group_name_Hall '-P 4 2'
loop_
_atom_site_label
_atom_site_fract_x
_atom_site_fract_y
_atom_site_fract_z
_atom_site_occupancy
Be1 0.000 0.000 0.000 1
Bi1 0.500 0.500 0.500 1
I1 0.000 0.500 0.000 1
O1 0.000 0.000 0.500 1
# Calculated volume, Å³ per atom: 29.10
# Offset from the most stable computed form, meV per atom: 0
# Density of states at the Fermi level, states/eV per cell: 1.259